Here is an optimized crystal structure of Sr2BiP from Alexandria. Energies are from PBE-GGA.

Structure (POSCAR):
```
Sr2BiP
1.0
0.000 3.967 3.967
3.967 0.000 3.967
3.967 3.967 0.000
Sr Bi P
2 1 1
Direct
0.250 0.250 0.250
0.750 0.750 0.750
0.000 0.000 0.000
0.500 0.500 0.500
```

Properties
Raw total energy, eV/cell: -15.11
Space-group type: Fm-3m, No. 225

***

Here is an optimized crystal structure of Sr2BiP2 from Alexandria. Energies are from PBE-GGA.

Structure (POSCAR):
```
Sr2BiP2
1.0
8.077 0.000 0.000
0.000 8.077 0.000
0.000 0.000 4.170
Sr Bi P
4 2 4
Direct
0.147 0.353 0.000
0.353 0.853 0.000
0.647 0.147 0.000
0.853 0.647 0.000
0.000 0.000 0.500
0.500 0.500 0.500
0.162 0.662 0.500
0.338 0.162 0.500
0.662 0.838 0.500
0.838 0.338 0.500
```

Properties
Space-group type: P4/mbm, No. 127
E above lowest polymorph, eV/atom: 0.000

***

Here is an optimized crystal structure of Sr2BiP from Alexandria. Energies are from PBE-GGA.

Structure (POSCAR):
```
Sr2BiP
1.0
3.700 0.000 0.000
0.000 3.700 0.000
0.000 0.000 8.864
Sr Bi P
2 1 1
Direct
0.000 0.000 0.201
0.000 0.000 0.799
0.500 0.500 0.500
0.500 0.500 0.000
```

Properties
Raw total energy, eV/cell: -15.91
Space-group type: P4/mmm, No. 123

***

Here is an optimized crystal structure of Sr2BiP2 from Alexandria. Energies are from PBE-GGA.

Structure (POSCAR):
```
Sr2BiP2
1.0
-3.021 3.021 4.050
3.021 -3.021 4.050
3.021 3.021 -4.050
Sr Bi P
2 1 2
Direct
0.250 0.750 0.500
0.750 0.250 0.500
0.000 0.000 0.000
0.361 0.361 0.000
0.639 0.639 0.000
```

Properties
Space-group type: I4/mmm, No. 139
E above lowest polymorph, eV/atom: 0.190